1.
VASP calculation (PBE-GGA) on an optimized crystal structure of TbEr2In3Pd3.

Lattice parameters (Å, degrees): 3.814 13.347 7.688 90.00 90.00 90.00
Space group Amm2 (No. 38)
Asymmetric unit:
Tb 0.000 0.000 0.000 (multiplicity 2)
Er 0.000 0.204 0.611 (multiplicity 4)
In 0.500 0.000 0.667 (multiplicity 2)
In 0.500 0.131 0.278 (multiplicity 4)
Pd 0.000 0.000 0.409 (multiplicity 2)
Pd 0.500 0.168 0.907 (multiplicity 4)

Computed properties:
- Total energy: -4.99 eV/atom

---

2.
VASP calculation (PBE-GGA) on an optimized crystal structure of SmTcOs.

Lattice parameters (Å, degrees): 8.852 5.327 9.554 90.00 90.00 90.00
Space group Amm2 (No. 38)
Asymmetric unit:
Sm 0.183 0.000 0.000 (multiplicity 4)
Sm 0.313 0.000 0.331 (multiplicity 4)
Tc 0.249 0.000 0.667 (multiplicity 4)
Tc 0.500 0.244 0.079 (multiplicity 4)
Os 0.000 0.000 0.487 (multiplicity 2)
Os 0.000 0.248 0.249 (multiplicity 4)
Os 0.500 0.000 0.836 (multiplicity 2)

Computed properties:
- Excess energy over the best structure of this formula in the dataset: 0.00 eV per formula unit
- Formation energy from the elements: -0.13 eV/atom

---

3.
VASP calculation (PBE-GGA) on an optimized crystal structure of Li2SiGePt2.

Lattice parameters (Å, degrees): 4.2991 4.2991 5.3946 90.00 90.00 120.00
Space group P-6m2 (No. 187)
Asymmetric unit:
Li 0.0000 0.0000 0.2496 (multiplicity 2)
Si 0.3333 0.6667 0.0000 (multiplicity 1)
Ge 0.6667 0.3333 0.5000 (multiplicity 1)
Pt 0.3333 0.6667 0.5000 (multiplicity 1)
Pt 0.6667 0.3333 0.0000 (multiplicity 1)

Computed properties:
- Total energy: -4.99 eV/atom

---

4.
VASP calculation (PBE-GGA) on an optimized crystal structure of FeSiNiOs.

Lattice parameters (Å, degrees): 5.787 5.787 5.787 90.00 90.00 90.00
Space group F-43m (No. 216)
Asymmetric unit:
Fe 0.000 0.000 0.000 (multiplicity 4)
Si 0.250 0.250 0.750 (multiplicity 4)
Ni 0.000 0.000 0.500 (multiplicity 4)
Os 0.250 0.250 0.250 (multiplicity 4)

Computed properties:
- Excess energy over the best structure of this formula in the dataset: 0.77 eV per formula unit

---

5.
VASP calculation (PBE-GGA) on an optimized crystal structure of NdGd2Mg3Pd2Au.

Lattice parameters (Å, degrees): 4.119 13.123 7.566 90.00 90.00 90.00
Space group Amm2 (No. 38)
Asymmetric unit:
Nd 0.000 0.000 0.000 (multiplicity 2)
Gd 0.000 0.207 0.623 (multiplicity 4)
Mg 0.500 0.000 0.662 (multiplicity 2)
Mg 0.500 0.124 0.294 (multiplicity 4)
Pd 0.500 0.170 0.915 (multiplicity 4)
Au 0.000 0.000 0.420 (multiplicity 2)

Computed properties:
- Total energy: -4.26 eV/atom

---

6.
VASP calculation (PBE-GGA) on an optimized crystal structure of GdTmAl4Pt2.

Lattice parameters (Å, degrees): 6.939 4.271 10.248 90.00 90.00 90.00
Space group Amm2 (No. 38)
Asymmetric unit:
Gd 0.000 0.000 0.000 (multiplicity 2)
Tm 0.500 0.000 0.143 (multiplicity 2)
Al 0.198 0.000 0.714 (multiplicity 4)
Al 0.305 0.000 0.428 (multiplicity 4)
Pt 0.000 0.000 0.283 (multiplicity 2)
Pt 0.500 0.000 0.861 (multiplicity 2)

Computed properties:
- Total energy: -5.52 eV/atom

---

7.
VASP calculation (PBE-GGA) on an optimized crystal structure of Pm3ThP4.

Lattice parameters (Å, degrees): 8.267 11.685 4.139 90.00 90.00 90.00
Space group Cmmm (No. 65)
Asymmetric unit:
Pm 0.000 0.000 0.000 (multiplicity 2)
Pm 0.250 0.250 0.500 (multiplicity 4)
Th 0.000 0.500 0.000 (multiplicity 2)
P 0.000 0.251 0.000 (multiplicity 4)
P 0.248 0.500 0.500 (multiplicity 4)

Computed properties:
- Total energy: -7.00 eV/atom

---

8.
VASP calculation (PBE-GGA) on an optimized crystal structure of YHo2Ga3AgPd2.

Lattice parameters (Å, degrees): 3.688 13.074 7.535 90.00 90.00 90.00
Space group Amm2 (No. 38)
Asymmetric unit:
Y 0.000 0.000 0.000 (multiplicity 2)
Ho 0.000 0.204 0.611 (multiplicity 4)
Ga 0.500 0.000 0.678 (multiplicity 2)
Ga 0.500 0.135 0.272 (multiplicity 4)
Ag 0.000 0.000 0.408 (multiplicity 2)
Pd 0.500 0.168 0.906 (multiplicity 4)

Computed properties:
- Total energy: -4.96 eV/atom

---

9.
VASP calculation (PBE-GGA) on an optimized crystal structure of CoHgBiPt.

Lattice parameters (Å, degrees): 6.701 6.701 6.701 90.00 90.00 90.00
Space group F-43m (No. 216)
Asymmetric unit:
Co 0.000 0.000 0.000 (multiplicity 4)
Hg 0.250 0.250 0.250 (multiplicity 4)
Bi 0.250 0.250 0.750 (multiplicity 4)
Pt 0.000 0.000 0.500 (multiplicity 4)

Computed properties:
- Excess energy over the best structure of this formula in the dataset: 0.00 eV per formula unit

---

10.
VASP calculation (PBE-GGA) on an optimized crystal structure of TlMoIr2.

Lattice parameters (Å, degrees): 6.435 6.435 6.435 90.00 90.00 90.00
Space group F-43m (No. 216)
Asymmetric unit:
Tl 0.000 0.000 0.000 (multiplicity 4)
Mo 0.250 0.250 0.250 (multiplicity 4)
Ir 0.000 0.000 0.500 (multiplicity 4)
Ir 0.250 0.250 0.750 (multiplicity 4)

Computed properties:
- Total energy: -7.16 eV/atom

---

11.
VASP calculation (PBE-GGA) on an optimized crystal structure of ErAgSnSeS2.

Lattice parameters (Å, degrees): 3.970 13.279 10.571 90.00 90.00 90.00
Space group Cmcm (No. 63)
Asymmetric unit:
Er 0.000 0.000 0.000 (multiplicity 4)
Ag 0.000 0.463 0.250 (multiplicity 4)
Sn 0.000 0.235 0.750 (multiplicity 4)
Se 0.000 0.100 0.250 (multiplicity 4)
S 0.000 0.363 0.053 (multiplicity 8)

Computed properties:
- Total energy: -4.77 eV/atom

---

12.
VASP calculation (PBE-GGA) on an optimized crystal structure of Zn2AsPO7.

Lattice parameters (Å, degrees): 6.465 8.466 4.683 90.00 103.23 90.00
Space group Cm (No. 8)
Asymmetric unit:
Zn 0.000 0.196 0.000 (multiplicity 4)
As 0.255 0.000 0.600 (multiplicity 2)
P 0.217 0.500 0.415 (multiplicity 2)
O 0.025 0.500 0.567 (multiplicity 2)
O 0.121 0.000 0.243 (multiplicity 2)
O 0.218 0.349 0.233 (multiplicity 4)
O 0.257 0.173 0.788 (multiplicity 4)
O 0.409 0.500 0.687 (multiplicity 2)

Computed properties:
- Total energy: -5.91 eV/atom

---

13.
VASP calculation (PBE-GGA) on an optimized crystal structure of K4Lu4B3.

Lattice parameters (Å, degrees): 3.259 7.947 13.512 95.60 96.72 95.46
Space group P-1 (No. 2)
Asymmetric unit:
K 0.192 0.151 0.384 (multiplicity 2)
K 0.192 0.857 0.119 (multiplicity 2)
Lu 0.038 0.406 0.122 (multiplicity 2)
Lu 0.297 0.392 0.647 (multiplicity 2)
B 0.244 0.518 0.482 (multiplicity 2)
B 0.500 0.500 0.000 (multiplicity 1)

Computed properties:
- Total energy: -3.58 eV/atom

---

14.
VASP calculation (PBE-GGA) on an optimized crystal structure of HfNpRe.

Lattice parameters (Å, degrees): 6.300 6.300 6.300 90.00 90.00 90.00
Space group F-43m (No. 216)
Asymmetric unit:
Hf 0.000 0.000 0.000 (multiplicity 4)
Np 0.250 0.250 0.750 (multiplicity 4)
Re 0.250 0.250 0.250 (multiplicity 4)

Computed properties:
- Formation energy from the elements: 1.04 eV/atom

---

15.
VASP calculation (PBE-GGA) on an optimized crystal structure of InCoReW.

Lattice parameters (Å, degrees): 6.280 6.280 6.280 90.00 90.00 90.00
Space group F-43m (No. 216)
Asymmetric unit:
In 0.000 0.000 0.000 (multiplicity 4)
Co 0.250 0.250 0.250 (multiplicity 4)
Re 0.250 0.250 0.750 (multiplicity 4)
W 0.000 0.000 0.500 (multiplicity 4)

Computed properties:
- Excess energy over the best structure of this formula in the dataset: 0.00 eV per formula unit

---

16.
VASP calculation (PBE-GGA) on an optimized crystal structure of TaIn2Tc.

Lattice parameters (Å, degrees): 6.652 6.652 6.652 90.00 90.00 90.00
Space group F-43m (No. 216)
Asymmetric unit:
Ta 0.000 0.000 0.000 (multiplicity 4)
In 0.000 0.000 0.500 (multiplicity 4)
In 0.250 0.250 0.250 (multiplicity 4)
Tc 0.250 0.250 0.750 (multiplicity 4)

Computed properties:
- Total energy: -6.58 eV/atom

---

17.
VASP calculation (PBE-GGA) on an optimized crystal structure of SmPu2Cu9.

Lattice parameters (Å, degrees): 4.9365 4.9365 25.6117 90.00 90.00 120.00
Space group R-3m (No. 166, hexagonal axes)
Asymmetric unit:
Sm 0.0000 0.0000 0.0000 (multiplicity 3)
Pu 0.0000 0.0000 0.1555 (multiplicity 6)
Cu 0.0000 0.0000 0.3316 (multiplicity 6)
Cu 0.0000 0.0000 0.5000 (multiplicity 3)
Cu 0.0032 0.5016 0.0814 (multiplicity 18)

Computed properties:
- Formation energy from the elements: 0.17 eV/atom

---

18.
VASP calculation (PBE-GGA) on an optimized crystal structure of BeZnNiSn.

Lattice parameters (Å, degrees): 6.091 6.091 6.091 90.00 90.00 90.00
Space group F-43m (No. 216)
Asymmetric unit:
Be 0.000 0.000 0.000 (multiplicity 4)
Zn 0.250 0.250 0.750 (multiplicity 4)
Ni 0.000 0.000 0.500 (multiplicity 4)
Sn 0.250 0.250 0.250 (multiplicity 4)

Computed properties:
- Excess energy over the best structure of this formula in the dataset: 0.00 eV per formula unit

---

19.
VASP calculation (PBE-GGA) on an optimized crystal structure of SmY.

Lattice parameters (Å, degrees): 6.521 6.521 6.521 90.00 90.00 90.00
Space group Fm-3m (No. 225)
Asymmetric unit:
Sm 0.000 0.000 0.000 (multiplicity 4)
Y 0.000 0.000 0.500 (multiplicity 4)

Computed properties:
- Excess energy over the best structure of this formula in the dataset: 1.43 eV per formula unit
- Formation energy from the elements: 0.73 eV/atom

---

20.
VASP calculation (PBE-GGA) on an optimized crystal structure of TePdPbO.

Lattice parameters (Å, degrees): 3.776 3.776 12.231 90.00 90.00 90.00
Space group P4/nmm (No. 129, origin choice 2)
Asymmetric unit:
Te 0.250 0.250 0.158 (multiplicity 2)
Pd 0.250 0.750 0.000 (multiplicity 2)
Pb 0.250 0.250 0.607 (multiplicity 2)
O 0.250 0.250 0.426 (multiplicity 2)

Computed properties:
- Excess energy over the best structure of this formula in the dataset: 0.32 eV per formula unit

---

21.
VASP calculation (PBE-GGA) on an optimized crystal structure of Li4CdNiPb2.

Lattice parameters (Å, degrees): 4.550 4.550 6.734 90.00 90.00 90.00
Space group P-4m2 (No. 115)
Asymmetric unit:
Li 0.000 0.000 0.000 (multiplicity 1)
Li 0.000 0.500 0.230 (multiplicity 2)
Li 0.500 0.500 0.500 (multiplicity 1)
Cd 0.000 0.000 0.500 (multiplicity 1)
Ni 0.500 0.500 0.000 (multiplicity 1)
Pb 0.000 0.500 0.783 (multiplicity 2)

Computed properties:
- Total energy: -2.91 eV/atom

---

22.
VASP calculation (PBE-GGA) on an optimized crystal structure of SmTmNb.

Lattice parameters (Å, degrees): 7.183 7.183 7.183 90.00 90.00 90.00
Space group F-43m (No. 216)
Asymmetric unit:
Sm 0.000 0.000 0.000 (multiplicity 4)
Tm 0.000 0.000 0.500 (multiplicity 4)
Nb 0.250 0.250 0.250 (multiplicity 4)

Computed properties:
- Excess energy over the best structure of this formula in the dataset: 0.00 eV per formula unit
- Formation energy from the elements: 0.80 eV/atom

---

23.
VASP calculation (PBE-GGA) on an optimized crystal structure of PmThHg6.

Lattice parameters (Å, degrees): 5.044 6.827 11.806 90.00 90.00 90.00
Space group Amm2 (No. 38)
Asymmetric unit:
Pm 0.000 0.000 0.000 (multiplicity 2)
Th 0.500 0.000 0.667 (multiplicity 2)
Hg 0.000 0.000 0.497 (multiplicity 2)
Hg 0.000 0.244 0.252 (multiplicity 4)
Hg 0.500 0.000 0.171 (multiplicity 2)
Hg 0.500 0.244 0.415 (multiplicity 4)

Computed properties:
- Formation energy from the elements: -0.32 eV/atom

---

24.
VASP calculation (PBE-GGA) on an optimized crystal structure of BaPdPb2Au.

Lattice parameters (Å, degrees): 5.001 5.001 11.133 90.00 90.00 90.00
Space group P4/nmm (No. 129, origin choice 2)
Asymmetric unit:
Ba 0.250 0.250 0.243 (multiplicity 2)
Pd 0.250 0.250 0.621 (multiplicity 2)
Pb 0.250 0.250 0.867 (multiplicity 2)
Pb 0.250 0.750 0.500 (multiplicity 2)
Au 0.250 0.750 0.000 (multiplicity 2)

Computed properties:
- Excess energy over the best structure of this formula in the dataset: 0.00 eV per formula unit